(1)
Below is Mg2TaCo at its PBEsol-relaxed geometry, with properties calculated at the SCAN level.

abc: 2.7684 4.3701 5.2668
angles: 90.00 90.00 90.00
Last column: nearest neighbours and their distance in Å.
Fractional positions:
Mg1 0.0000 0.0000 0.2378  4 Mg 2.51-2.77
Mg2 0.0000 0.0000 0.7622  4 Mg 2.51-2.77
Ta1 0.5000 0.5000 0.5000  2 Co 2.63, 2 Ta 2.77, 8 Mg 2.93
Co1 0.5000 0.5000 0.0000  2 Ta 2.63, 2 Co 2.77, 8 Mg 2.87

Summary:
Raw total energy in Ha/atom: -0.8462
Total magnetization in μB per cell: 0.0
Offset from the most stable computed form in meV/atom: 211.8
SG: Pmmm
Energy relative to the elements in meV/atom: 432

---

(2)
Below is Li5Ru at its PBEsol-relaxed geometry, with properties calculated at the SCAN level.

abc: 5.4170 5.4170 6.9835
angles: 103.48 103.48 26.85
Last column: nearest neighbours and their distance in Å.
Fractional positions:
Li1 0.0000 0.0000 0.0000  5 Li 2.52-2.76, 2 Ru 2.68
Li2 0.0717 0.0717 0.5907  4 Li 2.52-2.73, 2 Ru 2.70
Li3 0.3467 0.3467 0.6175  6 Li 2.52-2.78, 1 Ru 2.59
Li4 0.6798 0.6798 0.2993  7 Li 2.52-2.78, 3 Ru 2.78-2.80
Li5 0.7553 0.7553 0.9668  4 Li 2.52-2.63, 2 Ru 2.72
Ru1 0.4121 0.4121 0.2824  2 Ru 2.52, 10 Li 2.59-2.80

Summary:
Raw total energy in Ha/atom: -0.2830
Total magnetization in μB per cell: 0.1
SG: Cm
Energy relative to the elements in meV/atom: 96

---

(3)
Below is BaSrZn2 at its PBEsol-relaxed geometry, with properties calculated at the SCAN level.

abc: 6.4498 6.4498 6.4498
angles: 145.82 129.35 62.53
Last column: nearest neighbours and their distance in Å.
Fractional positions:
Ba1 0.0000 0.0000 0.0000  8 Zn 3.46-3.77, 2 Sr 3.48, 2 Ba 3.79
Sr1 0.3070 0.8070 0.5000  8 Zn 3.44-3.74, 2 Ba 3.48, 2 Sr 3.79
Zn1 0.5787 0.5787 0.0000  2 Zn 2.55
Zn2 0.7336 0.2336 0.5000  2 Zn 2.55

Summary:
Raw total energy in Ha/atom: -0.8212
Total magnetization in μB per cell: 0.0
SG: Imm2
Energy relative to the elements in meV/atom: -131

---

Theoretical density in g cm⁻³, matching the order above: 7.5 2.5 5.1